# 1
Compound: NpH6Rh5
Source: the Alexandria database
Functional: PBE
Structure: optimized geometry

Values from the calculation:
N(E_F) ... 8.8 states/eV per cell
Final energy ... -71.064 eV for the cell shown

Unit cell a=4.9503 b=5.4100 c=5.7134 alpha=62.29 beta=89.99 gamma=62.84
Closest atoms and distances in Å follow each position.
Space group P-1 (No. 2)
One atom of each set of equivalent atoms:
Np1 0.0000 0.0000 0.0000 (multiplicity 1)  2 Rh 2.42, 8 H 2.66-2.71
H1 0.1165 0.2727 0.2518 (multiplicity 2)  4 Rh 1.83-2.04
H2 0.3889 0.7275 0.7477 (multiplicity 2)  4 Rh 1.83-2.04
H3 0.4565 0.0868 0.8009 (multiplicity 2)  2 Rh 1.77-1.82, 1 H 1.97
Rh1 0.0000 0.0000 0.5000 (multiplicity 1)  4 H 1.83
Rh2 0.2752 0.4496 0.3950 (multiplicity 2)  3 H 1.90-2.05
Rh3 0.3313 0.3377 0.9528 (multiplicity 2)  2 H 1.77-1.82

***

# 2
Compound: LaCdI2
Source: the Alexandria database
Functional: PBE
Structure: optimized geometry

Values from the calculation:
N(E_F) ... 15.8 states/eV per cell
Final energy ... -47.065 eV for the cell shown
Energy relative to the elements, uncorrected ... -0.706 eV per atom

Unit cell a=8.0611 b=8.0611 c=8.0611 alpha=90.00 beta=90.00 gamma=90.00
Closest atoms and distances in Å follow each position.
Space group Fm-3m (No. 225)
One atom of each set of equivalent atoms:
La1 0.0000 0.0000 0.0000 (multiplicity 4)  8 I 3.49
Cd1 0.0000 0.0000 0.5000 (multiplicity 4)  8 I 3.49
I1 0.2500 0.2500 0.2500 (multiplicity 8)  4 Cd 3.49, 4 La 3.49

***

# 3
Compound: Pa6CoTc2
Source: the Alexandria database
Functional: PBE
Structure: optimized geometry

Values from the calculation:
N(E_F) ... 31.8 states/eV per cell
Final energy ... -171.695 eV for the cell shown

Unit cell a=6.0348 b=7.0457 c=11.1948 alpha=90.00 beta=122.30 gamma=90.00
Closest atoms and distances in Å follow each position.
Space group P2_1/c (No. 14)
One atom of each set of equivalent atoms:
Pa1 0.0753 0.1983 0.4317 (multiplicity 4)  1 Co 2.65, 2 Tc 2.77-2.92
Pa2 0.3061 0.6560 0.4468 (multiplicity 4)  1 Co 2.62, 1 Tc 2.84
Pa3 0.3856 0.0295 0.2396 (multiplicity 4)  1 Co 2.62, 2 Tc 2.72-2.78
Co1 0.5000 0.0000 0.5000 (multiplicity 2)  6 Pa 2.62-2.65
Tc1 0.1582 0.1292 0.7216 (multiplicity 4)  7 Pa 2.72-3.05

***

# 4
Compound: HoAg3
Source: the Alexandria database
Functional: PBE
Structure: optimized geometry

Values from the calculation:
N(E_F) ... 2.1 states/eV per cell
Final energy ... -13.435 eV for the cell shown

Unit cell a=3.1893 b=4.9709 c=5.2113 alpha=90.00 beta=90.00 gamma=90.00
Closest atoms and distances in Å follow each position.
Space group Pmm2 (No. 25)
One atom of each set of equivalent atoms:
Ho1 0.0000 0.0000 0.0000 (multiplicity 1)  10 Ag 3.05-3.10, 2 Ho 3.19
Ag1 0.0000 0.5000 0.6562 (multiplicity 1)  10 Ag 2.94-3.19, 2 Ho 3.06
Ag2 0.5000 0.0000 0.5001 (multiplicity 1)  8 Ag 2.99-3.19, 4 Ho 3.05-3.06
Ag3 0.5000 0.5000 0.1820 (multiplicity 1)  8 Ag 2.94-3.19, 4 Ho 3.10

***

# 5
Compound: ScCd2Ir
Source: the Alexandria database
Functional: PBE
Structure: optimized geometry

Values from the calculation:
N(E_F) ... 2.4 states/eV per cell
Final energy ... -17.340 eV for the cell shown

Unit cell a=3.6867 b=3.6867 c=5.6648 alpha=90.00 beta=90.00 gamma=90.00
Closest atoms and distances in Å follow each position.
Space group P4/mmm (No. 123)
One atom of each set of equivalent atoms:
Sc1 0.0000 0.0000 0.0000 (multiplicity 1)  2 Ir 2.83, 8 Cd 3.00
Cd1 0.5000 0.5000 0.2625 (multiplicity 2)  2 Cd 2.69-2.97, 4 Ir 2.93, 4 Sc 3.00
Ir1 0.0000 0.0000 0.5000 (multiplicity 1)  2 Sc 2.83, 8 Cd 2.93

***

# 6
Compound: Ac2CuS3
Source: the Alexandria database
Functional: PBE
Structure: optimized geometry

Values from the calculation:
N(E_F) ... 7.0 states/eV per cell
Final energy ... -135.446 eV for the cell shown
Energy relative to the elements, uncorrected ... -1.528 eV per atom
ΔE to the lowest computed polymorph ... 127 meV per atom

Unit cell a=10.5455 b=7.6505 c=7.7682 alpha=90.00 beta=111.48 gamma=90.00
Closest atoms and distances in Å follow each position.
Space group C2/c (No. 15)
One atom of each set of equivalent atoms:
Ac1 0.1507 0.2059 0.1592 (multiplicity 8)  6 S 3.00-3.16, 1 Cu 3.34
Cu1 0.0000 0.4015 0.7500 (multiplicity 4)  3 S 2.24-2.26
S1 0.0000 0.1066 0.7500 (multiplicity 4)  1 Cu 2.26
S2 0.1644 0.4504 0.4674 (multiplicity 8)  1 Cu 2.24